Record 1
Material: Pu3Cd11
Method: DFT, PBE-GGA
State: optimized geometry

abc: 4.925 8.786 8.786
angles: 78.67 73.72 73.72
Last column: magnetic moment on the atom in μB.
Atoms (fractional coordinates):
Pu (0.000, 0.000, 0.000)  5.61
Pu (0.730, 0.270, 0.270)  5.56
Pu (0.270, 0.730, 0.730)  5.56
Cd (0.000, 0.500, 0.500)  -0.01
Cd (0.500, 0.350, 0.650)  0.01
Cd (0.500, 0.650, 0.350)  0.01
Cd (0.634, 0.999, 0.734)  0.01
Cd (0.366, 0.001, 0.266)  0.01
Cd (0.634, 0.734, 0.999)  0.01
Cd (0.366, 0.266, 0.001)  0.01
Cd (0.855, 0.865, 0.425)  0.00
Cd (0.145, 0.135, 0.575)  0.00
Cd (0.855, 0.425, 0.865)  0.00
Cd (0.145, 0.575, 0.135)  0.00

Output
* V: 347.4 Å³ per cell
* density of states at the Fermi level: 2.888 states/eV per atom
* M_tot: 17.9 Bohr magnetons per cell
* formation enthalpy at 0 K: -0.3 eV per formula unit



Record 2
Material: PuCd4
Method: DFT, PBE-GGA
State: optimized geometry

abc: 4.838 10.485 10.485
angles: 80.65 103.35 76.64
Last column: magnetic moment on the atom in μB.
Atoms (fractional coordinates):
Pu (0.000, 0.101, 0.601)  5.62
Pu (0.873, 0.627, 0.873)  -5.67
Pu (0.127, 0.373, 0.127)  -5.67
Pu (0.000, 0.899, 0.399)  5.62
Cd (0.623, 0.877, 0.623)  0.00
Cd (0.500, 0.608, 0.108)  -0.01
Cd (0.500, 0.392, 0.892)  -0.01
Cd (0.377, 0.123, 0.377)  0.00
Cd (0.740, 0.146, 0.126)  -0.01
Cd (0.639, 0.048, 0.825)  0.01
Cd (0.361, 0.952, 0.175)  0.01
Cd (0.260, 0.854, 0.874)  -0.01
Cd (0.361, 0.325, 0.548)  0.01
Cd (0.639, 0.675, 0.452)  0.01
Cd (0.260, 0.626, 0.646)  -0.01
Cd (0.740, 0.374, 0.354)  -0.01
Cd (0.117, 0.177, 0.911)  0.00
Cd (0.883, 0.411, 0.677)  0.00
Cd (0.883, 0.823, 0.089)  0.00
Cd (0.117, 0.589, 0.323)  0.00

Output
* relative energy among the computed polymorphs: 47 meV per atom
* V: 490.3 Å³ per cell
* density of states at the Fermi level: 2.411 states/eV per atom
* M_tot: 0.2 Bohr magnetons per cell
* formation enthalpy at 0 K: 0.1 eV per formula unit



Record 3
Material: Pu2Cd7
Method: DFT, PBE-GGA
State: optimized geometry

abc: 5.645 5.645 7.930
angles: 90.00 90.00 120.00
Last column: magnetic moment on the atom in μB.
Atoms (fractional coordinates):
Pu (0.333, 0.667, 0.000)  5.59
Pu (0.667, 0.333, 0.000)  5.59
Cd (0.000, 0.000, 0.000)  0.03
Cd (0.674, 0.000, 0.340)  -0.01
Cd (0.000, 0.674, 0.340)  -0.01
Cd (0.326, 0.326, 0.340)  -0.01
Cd (0.000, 0.326, 0.660)  -0.01
Cd (0.326, 0.000, 0.660)  -0.01
Cd (0.674, 0.674, 0.660)  -0.01

Output
* V: 218.8 Å³ per cell
* density of states at the Fermi level: 2.316 states/eV per atom
* M_tot: 11.9 Bohr magnetons per cell
* formation enthalpy at 0 K: 0.3 eV per formula unit